Entry 1:
Compound: CrRh2
Source: Alexandria
Functional: PBE
Structure: optimized geometry

Output
Magnetization in μB/cell: 0.000
Formation energy in eV per atom: -0.094
D(E_F) in states/eV/cell: 2.937
Density in g/cm3: 10.666
Final energy in eV/atom: -8.203

abc: 5.858 5.858 5.858
angles: 153.44 153.44 37.92
Fractional coordinates of all 3 atoms:
Cr 0.000 0.000 0.000
Rh 0.344 0.344 0.000
Rh 0.656 0.656 0.000



Entry 2:
Compound: Pm7AlSn4
Source: Alexandria
Functional: PBE
Structure: optimized geometry

Output
Magnetization in μB/cell: 0.002
Formation energy in eV per atom: -0.371
D(E_F) in states/eV/cell: 9.835
Density in g/cm3: 6.529
Final energy in eV/atom: -4.788

abc: 5.667 9.466 8.099
angles: 78.05 69.52 72.58
Fractional coordinates of all 12 atoms:
Pm 0.800 0.872 0.529
Pm 0.200 0.128 0.471
Pm 0.081 0.677 0.160
Pm 0.919 0.323 0.840
Pm 0.348 0.575 0.728
Pm 0.500 0.000 0.000
Pm 0.652 0.425 0.272
Al 0.000 0.000 0.000
Sn 0.574 0.220 0.632
Sn 0.426 0.780 0.368
Sn 0.716 0.667 0.901
Sn 0.284 0.333 0.099